[1]
This record from Alexandria describes a crystal of K2InCuCl6 relaxed with PBEsol. The functional is SCAN.

Computed properties:
Energy ... -127.9 eV/cell

Geometry as POSCAR:
```
K2InCuCl6
1.0
7.031 0.000 0.000
3.516 6.089 0.000
3.516 2.030 5.741
Cl K In Cu
6 2 1 1
Cartesian
5.309 3.065 4.277
7.031 2.071 1.464
5.309 5.054 1.464
8.753 3.065 4.277
8.753 5.054 1.464
7.031 6.048 4.277
3.516 2.030 1.435
10.547 6.089 4.306
0.000 0.000 0.000
7.031 4.059 2.870
```

***

[2]
This record from Alexandria describes a crystal of LaGa3O relaxed with PBEsol. The functional is SCAN.

Computed properties:
Energy ... -100.7 eV/cell

Geometry as POSCAR:
```
LaGa3O
1.0
-1.100 3.941 -2.018
1.039 -1.791 -4.065
-4.304 -1.440 -0.465
O La Ga
1 1 3
Cartesian
0.000 0.000 0.000
-2.183 0.355 -3.274
-2.152 -0.720 -0.233
-0.550 1.970 -1.009
0.519 -0.896 -2.032
```

***

[3]
This record from Alexandria describes a crystal of ZrSbTe2C relaxed with PBEsol. The functional is SCAN.

Computed properties:
Energy ... -145.7 eV/cell

Geometry as POSCAR:
```
ZrSbTe2C
1.0
-0.116 4.659 2.818
-4.608 1.417 -2.533
-2.937 -2.470 3.962
Sb Zr Te C
1 1 2 1
Cartesian
-1.469 -1.235 1.981
0.000 0.000 0.000
-2.304 0.709 -1.266
-0.058 2.329 1.409
-3.831 1.803 2.124
```

***

[4]
This record from Alexandria describes a crystal of Ti3AlAs relaxed with PBEsol. The functional is SCAN.

Computed properties:
E_form ... 63.0 kJ per mole of atoms

Geometry as POSCAR:
```
Ti3AlAs
1.0
4.595 0.000 0.000
0.000 4.595 0.000
0.000 0.000 4.595
Ti As Al
3 1 1
Cartesian
0.000 2.298 0.000
2.298 0.000 0.000
0.000 0.000 2.298
2.298 2.298 2.298
0.000 0.000 0.000
```